# 1
Here is a geometry-optimized SmHo2PaAs4 structure from Alexandria. Energies are from PBE.

abc: 7.115 4.129 7.147
angles: 90.00 109.48 90.00
Space group P2/m (No. 10)
One atom of each set of equivalent atoms:
Sm: 0.000 0.000 0.000 (multiplicity 1)
Ho: 0.500 0.000 0.500 (multiplicity 1)
Ho: 0.500 0.500 0.000 (multiplicity 1)
Pa: 0.000 0.500 0.500 (multiplicity 1)
As: 0.251 0.000 0.746 (multiplicity 2)
As: 0.253 0.500 0.257 (multiplicity 2)

Values from the calculation:
- Total energy: -6.655 eV/atom



# 2
Here is a geometry-optimized Sr3Ho2PaAs6 structure from Alexandria. Energies are from PBE.

abc: 7.362 12.763 7.544
angles: 90.00 109.02 90.00
Space group C2/m (No. 12)
One atom of each set of equivalent atoms:
Sr: 0.000 0.000 0.000 (multiplicity 2)
Sr: 0.000 0.331 0.000 (multiplicity 4)
Ho: 0.000 0.167 0.500 (multiplicity 4)
Pa: 0.000 0.500 0.500 (multiplicity 2)
As: 0.236 0.337 0.719 (multiplicity 8)
As: 0.247 0.000 0.720 (multiplicity 4)

Values from the calculation:
- Total energy: -5.547 eV/atom



# 3
Here is a geometry-optimized SrHo2PaAs4 structure from Alexandria. Energies are from PBE.

abc: 5.902 5.902 11.784
angles: 90.00 90.00 90.00
Space group I-4m2 (No. 119)
One atom of each set of equivalent atoms:
Sr: 0.000 0.000 0.000 (multiplicity 2)
Ho: 0.000 0.000 0.500 (multiplicity 2)
Ho: 0.000 0.500 0.250 (multiplicity 2)
Pa: 0.000 0.500 0.750 (multiplicity 2)
As: 0.000 0.000 0.258 (multiplicity 4)
As: 0.000 0.500 0.508 (multiplicity 4)

Values from the calculation:
- Total energy: -6.150 eV/atom



# 4
Here is a geometry-optimized Sr4HoPa3As8 structure from Alexandria. Energies are from PBE.

abc: 8.4966 8.4966 21.3638
angles: 90.00 90.00 120.00
Space group R-3m (No. 166, hexagonal axes)
One atom of each set of equivalent atoms:
Sr: 0.0000 0.0000 0.0000 (multiplicity 3)
Sr: 0.0000 0.5000 0.0000 (multiplicity 9)
Ho: 0.0000 0.0000 0.5000 (multiplicity 3)
Pa: 0.0000 0.5000 0.5000 (multiplicity 9)
As: 0.0000 0.0000 0.2394 (multiplicity 6)
As: 0.0053 0.5026 0.7606 (multiplicity 18)

Values from the calculation:
- Total energy: -6.019 eV/atom



# 5
Here is a geometry-optimized Tb2HoPaAs5 structure from Alexandria. Energies are from PBE.

abc: 5.059 5.059 10.848
angles: 90.00 90.00 90.00
Space group P4/mmm (No. 123)
One atom of each set of equivalent atoms:
Tb: 0.000 0.000 0.233 (multiplicity 2)
Ho: 0.500 0.500 0.500 (multiplicity 1)
Pa: 0.500 0.500 0.000 (multiplicity 1)
As: 0.000 0.000 0.500 (multiplicity 1)
As: 0.000 0.500 0.000 (multiplicity 2)
As: 0.500 0.500 0.254 (multiplicity 2)

Values from the calculation:
- Total energy: -5.660 eV/atom



# 6
Here is a geometry-optimized TbHoPa2As4 structure from Alexandria. Energies are from PBE.

abc: 7.097 4.103 7.105
angles: 90.00 109.49 90.00
Space group P2/m (No. 10)
One atom of each set of equivalent atoms:
Tb: 0.000 0.000 0.000 (multiplicity 1)
Ho: 0.000 0.500 0.500 (multiplicity 1)
Pa: 0.500 0.000 0.500 (multiplicity 1)
Pa: 0.500 0.500 0.000 (multiplicity 1)
As: 0.251 0.000 0.749 (multiplicity 2)
As: 0.252 0.500 0.252 (multiplicity 2)

Values from the calculation:
- Total energy: -7.130 eV/atom



# 7
Here is a geometry-optimized TbHo2PaAs4 structure from Alexandria. Energies are from PBE.

abc: 7.092 4.110 7.104
angles: 90.00 109.48 90.00
Space group P2/m (No. 10)
One atom of each set of equivalent atoms:
Tb: 0.000 0.000 0.000 (multiplicity 1)
Ho: 0.500 0.000 0.500 (multiplicity 1)
Ho: 0.500 0.500 0.000 (multiplicity 1)
Pa: 0.000 0.500 0.500 (multiplicity 1)
As: 0.250 0.000 0.748 (multiplicity 2)
As: 0.250 0.500 0.254 (multiplicity 2)

Values from the calculation:
- Total energy: -6.649 eV/atom



# 8
Here is a geometry-optimized Tb2HoPaAs4 structure from Alexandria. Energies are from PBE.

abc: 7.110 4.120 7.122
angles: 90.00 109.47 90.00
Space group P2/m (No. 10)
One atom of each set of equivalent atoms:
Tb: 0.000 0.000 0.000 (multiplicity 1)
Tb: 0.500 0.500 0.000 (multiplicity 1)
Ho: 0.000 0.500 0.500 (multiplicity 1)
Pa: 0.500 0.000 0.500 (multiplicity 1)
As: 0.251 0.000 0.745 (multiplicity 2)
As: 0.252 0.500 0.254 (multiplicity 2)

Values from the calculation:
- Total energy: -6.662 eV/atom



# 9
Here is a geometry-optimized Tb4Ho3PaAs8 structure from Alexandria. Energies are from PBE.

abc: 8.2234 8.2234 20.1609
angles: 90.00 90.00 120.00
Space group R-3m (No. 166, hexagonal axes)
One atom of each set of equivalent atoms:
Tb: 0.0000 0.0000 0.0000 (multiplicity 3)
Tb: 0.0000 0.5000 0.0000 (multiplicity 9)
Ho: 0.0000 0.5000 0.5000 (multiplicity 9)
Pa: 0.0000 0.0000 0.5000 (multiplicity 3)
As: 0.0000 0.0000 0.2492 (multiplicity 6)
As: 0.0027 0.5014 0.2485 (multiplicity 18)

Values from the calculation:
- Total energy: -6.420 eV/atom



# 10
Here is a geometry-optimized HoThPa2As4 structure from Alexandria. Energies are from PBE.

abc: 7.156 4.140 7.169
angles: 90.00 109.51 90.00
Space group P2/m (No. 10)
One atom of each set of equivalent atoms:
Ho: 0.000 0.000 0.000 (multiplicity 1)
Th: 0.000 0.500 0.500 (multiplicity 1)
Pa: 0.500 0.000 0.500 (multiplicity 1)
Pa: 0.500 0.500 0.000 (multiplicity 1)
As: 0.255 0.500 0.246 (multiplicity 2)
As: 0.258 0.000 0.759 (multiplicity 2)

Values from the calculation:
- Total energy: -7.438 eV/atom



# 11
Here is a geometry-optimized HoTh2PaAs4 structure from Alexandria. Energies are from PBE.

abc: 7.222 4.179 7.231
angles: 90.00 109.51 90.00
Space group P2/m (No. 10)
One atom of each set of equivalent atoms:
Ho: 0.000 0.000 0.000 (multiplicity 1)
Th: 0.000 0.500 0.500 (multiplicity 1)
Th: 0.500 0.000 0.500 (multiplicity 1)
Pa: 0.500 0.500 0.000 (multiplicity 1)
As: 0.247 0.500 0.238 (multiplicity 2)
As: 0.254 0.000 0.763 (multiplicity 2)

Values from the calculation:
- Total energy: -7.276 eV/atom



# 12
Here is a geometry-optimized Ho2TmPaAs4 structure from Alexandria. Energies are from PBE.

abc: 7.061 4.092 7.073
angles: 90.00 109.48 90.00
Space group P2/m (No. 10)
One atom of each set of equivalent atoms:
Ho: 0.000 0.000 0.000 (multiplicity 1)
Ho: 0.500 0.500 0.000 (multiplicity 1)
Tm: 0.000 0.500 0.500 (multiplicity 1)
Pa: 0.500 0.000 0.500 (multiplicity 1)
As: 0.250 0.000 0.747 (multiplicity 2)
As: 0.250 0.500 0.251 (multiplicity 2)

Values from the calculation:
- Total energy: -6.618 eV/atom



# 13
Here is a geometry-optimized Ho3UPa2As6 structure from Alexandria. Energies are from PBE.

abc: 17.871 4.085 8.201
angles: 90.00 103.67 90.00
Space group C2/m (No. 12)
One atom of each set of equivalent atoms:
Ho: 0.000 0.000 0.000 (multiplicity 2)
Ho: 0.167 0.500 0.332 (multiplicity 4)
U: 0.000 0.000 0.500 (multiplicity 2)
Pa: 0.165 0.500 0.830 (multiplicity 4)
As: 0.001 0.500 0.250 (multiplicity 4)
As: 0.167 0.000 0.082 (multiplicity 4)
As: 0.167 0.000 0.582 (multiplicity 4)

Values from the calculation:
- Total energy: -7.218 eV/atom



# 14
Here is a geometry-optimized Y4Ho3PaAs8 structure from Alexandria. Energies are from PBE.

abc: 8.2124 8.2124 20.1228
angles: 90.00 90.00 120.00
Space group R-3m (No. 166, hexagonal axes)
One atom of each set of equivalent atoms:
Y: 0.0000 0.0000 0.0000 (multiplicity 3)
Y: 0.0000 0.5000 0.0000 (multiplicity 9)
Ho: 0.0000 0.5000 0.5000 (multiplicity 9)
Pa: 0.0000 0.0000 0.5000 (multiplicity 3)
As: 0.0000 0.0000 0.2494 (multiplicity 6)
As: 0.0026 0.5013 0.2487 (multiplicity 18)

Values from the calculation:
- Total energy: -6.885 eV/atom



# 15
Here is a geometry-optimized YHoPa2As4 structure from Alexandria. Energies are from PBE.

abc: 7.092 4.100 7.101
angles: 90.00 109.50 90.00
Space group P2/m (No. 10)
One atom of each set of equivalent atoms:
Y: 0.000 0.000 0.000 (multiplicity 1)
Ho: 0.000 0.500 0.500 (multiplicity 1)
Pa: 0.500 0.000 0.500 (multiplicity 1)
Pa: 0.500 0.500 0.000 (multiplicity 1)
As: 0.251 0.000 0.750 (multiplicity 2)
As: 0.252 0.500 0.251 (multiplicity 2)

Values from the calculation:
- Total energy: -7.361 eV/atom



# 16
Here is a geometry-optimized Y2HoPaAs4 structure from Alexandria. Energies are from PBE.

abc: 7.102 4.114 7.107
angles: 90.00 109.48 90.00
Space group P2/m (No. 10)
One atom of each set of equivalent atoms:
Y: 0.000 0.000 0.000 (multiplicity 1)
Y: 0.500 0.500 0.000 (multiplicity 1)
Ho: 0.000 0.500 0.500 (multiplicity 1)
Pa: 0.500 0.000 0.500 (multiplicity 1)
As: 0.251 0.000 0.746 (multiplicity 2)
As: 0.252 0.500 0.253 (multiplicity 2)

Values from the calculation:
- Total energy: -7.126 eV/atom



# 17
Here is a geometry-optimized HoZrPa2As4 structure from Alexandria. Energies are from PBE.

abc: 6.935 4.059 7.015
angles: 90.00 109.76 90.00
Space group P2/m (No. 10)
One atom of each set of equivalent atoms:
Ho: 0.000 0.000 0.000 (multiplicity 1)
Zr: 0.000 0.500 0.500 (multiplicity 1)
Pa: 0.500 0.000 0.500 (multiplicity 1)
Pa: 0.500 0.500 0.000 (multiplicity 1)
As: 0.241 0.000 0.743 (multiplicity 2)
As: 0.244 0.500 0.253 (multiplicity 2)

Values from the calculation:
- Total energy: -7.520 eV/atom



# 18
Here is a geometry-optimized HoZr2PaAs4 structure from Alexandria. Energies are from PBE.

abc: 6.865 3.995 6.896
angles: 90.00 109.61 90.00
Space group P2/m (No. 10)
One atom of each set of equivalent atoms:
Ho: 0.000 0.000 0.000 (multiplicity 1)
Zr: 0.500 0.000 0.500 (multiplicity 1)
Zr: 0.500 0.500 0.000 (multiplicity 1)
Pa: 0.000 0.500 0.500 (multiplicity 1)
As: 0.261 0.500 0.254 (multiplicity 2)
As: 0.262 0.000 0.755 (multiplicity 2)

Values from the calculation:
- Total energy: -7.434 eV/atom



# 19
Here is a geometry-optimized Ho2ZrPaAs4 structure from Alexandria. Energies are from PBE.

abc: 6.959 4.039 7.016
angles: 90.00 109.33 90.00
Space group P2/m (No. 10)
One atom of each set of equivalent atoms:
Ho: 0.000 0.000 0.000 (multiplicity 1)
Ho: 0.500 0.500 0.000 (multiplicity 1)
Zr: 0.000 0.500 0.500 (multiplicity 1)
Pa: 0.500 0.000 0.500 (multiplicity 1)
As: 0.243 0.000 0.741 (multiplicity 2)
As: 0.245 0.500 0.253 (multiplicity 2)

Values from the calculation:
- Total energy: -7.018 eV/atom



# 20
Here is a geometry-optimized Ho4AsPb2 structure from Alexandria. Energies are from PBE.

abc: 6.631 6.551 9.765
angles: 90.00 109.42 90.00
Space group P2_1/m (No. 11)
One atom of each set of equivalent atoms:
Ho: 0.160 0.250 0.074 (multiplicity 2)
Ho: 0.255 0.003 0.757 (multiplicity 4)
Ho: 0.301 0.750 0.360 (multiplicity 2)
As: 0.485 0.250 0.344 (multiplicity 2)
Pb: 0.132 0.250 0.456 (multiplicity 2)
Pb: 0.343 0.750 0.047 (multiplicity 2)

Values from the calculation:
- Total energy: -4.913 eV/atom



# 21
Here is a geometry-optimized HoAs2Pb structure from Alexandria. Energies are from PBE.

abc: 4.1618 4.1618 21.2975
angles: 90.00 90.00 120.00
Space group R-3m (No. 166, hexagonal axes)
One atom of each set of equivalent atoms:
Ho: 0.0000 0.0000 0.0000 (multiplicity 3)
As: 0.0000 0.0000 0.2577 (multiplicity 6)
Pb: 0.0000 0.0000 0.5000 (multiplicity 3)

Values from the calculation:
- Total energy: -5.010 eV/atom



# 22
Here is a geometry-optimized HoAs2Rh5Pb structure from Alexandria. Energies are from PBE.

abc: 4.182 4.182 8.836
angles: 90.00 90.00 90.00
Space group P4/mmm (No. 123)
One atom of each set of equivalent atoms:
Ho: 0.000 0.000 0.000 (multiplicity 1)
As: 0.500 0.500 0.142 (multiplicity 2)
Rh: 0.000 0.500 0.271 (multiplicity 4)
Rh: 0.500 0.500 0.500 (multiplicity 1)
Pb: 0.000 0.000 0.500 (multiplicity 1)

Values from the calculation:
- Total energy: -6.581 eV/atom



# 23
Here is a geometry-optimized Ho6As3PbS2 structure from Alexandria. Energies are from PBE.

abc: 17.826 4.058 8.272
angles: 90.00 103.09 90.00
Space group C2/m (No. 12)
One atom of each set of equivalent atoms:
Ho: 0.003 0.000 0.268 (multiplicity 4)
Ho: 0.167 0.500 0.585 (multiplicity 4)
Ho: 0.173 0.500 0.087 (multiplicity 4)
As: 0.000 0.500 0.500 (multiplicity 2)
As: 0.165 0.000 0.831 (multiplicity 4)
Pb: 0.000 0.500 0.000 (multiplicity 2)
S: 0.170 0.000 0.340 (multiplicity 4)

Values from the calculation:
- E_form (uncorrected): -1.482 eV per atom
- Total energy: -5.930 eV/atom